[1]
# Ca5Cd3 | Alexandria via LeMat-Bulk | GGA-PBE | relaxed
data_Ca5Cd3
_chemical_formula_sum 'Ca5 Cd3'
_cell_length_a 3.818
_cell_length_b 3.818
_cell_length_c 17.388
_cell_angle_alpha 90.00
_cell_angle_beta 90.00
_cell_angle_gamma 90.00
_symmetry_space_group_name_H-M 'P 1'
_symmetry_Int_Tables_number 1
_symmetry_space_group_name_Hall 'P 1'
loop_
_atom_site_label
_atom_site_type_symbol
_atom_site_fract_x
_atom_site_fract_y
_atom_site_fract_z
Ca1 Ca 0.000 0.000 0.000
Ca2 Ca 0.000 0.000 0.222
Ca3 Ca 0.000 0.000 0.778
Ca4 Ca 0.500 0.500 0.390
Ca5 Ca 0.500 0.500 0.610
Cd1 Cd 0.000 0.000 0.500
Cd2 Cd 0.500 0.500 0.114
Cd3 Cd 0.500 0.500 0.886
# Size of the total moment   0.0 μB per formula unit
# DFT total energy   -1.874 eV per atom

---

[2]
# YReSe2Br | Alexandria via LeMat-Bulk | GGA-PBE | relaxed
data_YReSe2Br
_chemical_formula_sum 'Y1 Re1 Se2 Br1'
_cell_length_a 4.898
_cell_length_b 4.898
_cell_length_c 5.099
_cell_angle_alpha 90.00
_cell_angle_beta 90.00
_cell_angle_gamma 90.00
_symmetry_space_group_name_H-M 'P 1'
_symmetry_Int_Tables_number 1
_symmetry_space_group_name_Hall 'P 1'
loop_
_atom_site_label
_atom_site_type_symbol
_atom_site_fract_x
_atom_site_fract_y
_atom_site_fract_z
Y1 Y 0.000 0.000 0.000
Re1 Re 0.500 0.500 0.500
Se1 Se 0.000 0.500 0.500
Se2 Se 0.500 0.000 0.500
Br1 Br 0.500 0.500 0.000
# Raw formation energy   22 meV/atom
# Distance to the lowest polymorph of the same formula   0.000 eV per atom
# Size of the total moment   0.8 μB per formula unit

---

[3]
# Tm2SnHg3 | Alexandria via LeMat-Bulk | GGA-PBE | relaxed
data_Tm2SnHg3
_chemical_formula_sum 'Tm4 Sn2 Hg6'
_cell_length_a 9.872
_cell_length_b 9.205
_cell_length_c 6.028
_cell_angle_alpha 77.72
_cell_angle_beta 65.65
_cell_angle_gamma 36.63
_symmetry_space_group_name_H-M 'P 1'
_symmetry_Int_Tables_number 1
_symmetry_space_group_name_Hall 'P 1'
loop_
_atom_site_label
_atom_site_type_symbol
_atom_site_fract_x
_atom_site_fract_y
_atom_site_fract_z
Tm1 Tm 0.247 0.753 0.753
Tm2 Tm 0.250 0.250 0.250
Tm3 Tm 0.750 0.750 0.750
Tm4 Tm 0.753 0.247 0.247
Sn1 Sn 0.334 0.334 0.666
Sn2 Sn 0.666 0.666 0.334
Hg1 Hg 0.165 0.165 0.835
Hg2 Hg 0.166 0.669 0.331
Hg3 Hg 0.331 0.834 0.166
Hg4 Hg 0.669 0.166 0.834
Hg5 Hg 0.834 0.331 0.669
Hg6 Hg 0.835 0.835 0.165
# Distance to the lowest polymorph of the same formula   0.028 eV per atom
# Size of the total moment   0.0 μB per formula unit

---

[4]
# Pa2Re2C3 | Alexandria via LeMat-Bulk | GGA-PBE | relaxed
data_Pa2Re2C3
_chemical_formula_sum 'Pa2 Re2 C3'
_cell_length_a 6.228
_cell_length_b 6.228
_cell_length_c 5.632
_cell_angle_alpha 112.25
_cell_angle_beta 112.25
_cell_angle_gamma 29.66
_symmetry_space_group_name_H-M 'P 1'
_symmetry_Int_Tables_number 1
_symmetry_space_group_name_Hall 'P 1'
loop_
_atom_site_label
_atom_site_type_symbol
_atom_site_fract_x
_atom_site_fract_y
_atom_site_fract_z
Pa1 Pa 0.102 0.102 0.307
Pa2 Pa 0.898 0.898 0.693
Re1 Re 0.345 0.345 0.165
Re2 Re 0.655 0.655 0.835
C1 C 0.250 0.250 0.751
C2 C 0.500 0.500 0.500
C3 C 0.750 0.750 0.249
# Size of the total moment   0.0 μB per formula unit
# DFT total energy   -10.557 eV per atom

---

[5]
# YTa3Mo | Alexandria via LeMat-Bulk | GGA-PBE | relaxed
data_YTa3Mo
_chemical_formula_sum 'Y1 Ta3 Mo1'
_cell_length_a 4.900
_cell_length_b 4.900
_cell_length_c 4.900
_cell_angle_alpha 90.00
_cell_angle_beta 90.00
_cell_angle_gamma 90.00
_symmetry_space_group_name_H-M 'P 1'
_symmetry_Int_Tables_number 1
_symmetry_space_group_name_Hall 'P 1'
loop_
_atom_site_label
_atom_site_type_symbol
_atom_site_fract_x
_atom_site_fract_y
_atom_site_fract_z
Y1 Y 0.000 0.000 0.000
Ta1 Ta 0.000 0.500 0.500
Ta2 Ta 0.500 0.000 0.500
Ta3 Ta 0.500 0.500 0.000
Mo1 Mo 0.500 0.500 0.500
# Distance to the lowest polymorph of the same formula   0.000 eV per atom
# Size of the total moment   0.0 μB per formula unit

---

[6]
# Sb2IrWAu | Alexandria via LeMat-Bulk | GGA-PBE | relaxed
data_Sb2IrWAu
_chemical_formula_sum 'Sb2 Ir1 W1 Au1'
_cell_length_a 5.113
_cell_length_b 5.113
_cell_length_c 4.957
_cell_angle_alpha 90.00
_cell_angle_beta 90.00
_cell_angle_gamma 90.00
_symmetry_space_group_name_H-M 'P 1'
_symmetry_Int_Tables_number 1
_symmetry_space_group_name_Hall 'P 1'
loop_
_atom_site_label
_atom_site_type_symbol
_atom_site_fract_x
_atom_site_fract_y
_atom_site_fract_z
Sb1 Sb 0.000 0.500 0.000
Sb2 Sb 0.500 0.000 0.000
Ir1 Ir 0.000 0.000 0.000
W1 W 0.000 0.000 0.500
Au1 Au 0.500 0.500 0.500
# Raw formation energy   1233 meV/atom
# Size of the total moment   2.6 μB per formula unit